(1)
DFT (PBE-GGA) results for a relaxed structure of Li4Ga4Ag.

Lattice parameters (Å, degrees): 5.658 5.658 9.436 90.00 90.00 90.00
Element x y z (fractional)
Li: 0.033 0.250 0.192
Li: 0.250 0.033 0.692
Li: 0.250 0.467 0.692
Li: 0.467 0.250 0.192
Li: 0.533 0.750 0.808
Li: 0.750 0.533 0.308
Li: 0.750 0.967 0.308
Li: 0.967 0.750 0.808
Ga: 0.003 0.250 0.487
Ga: 0.250 0.003 0.987
Ga: 0.250 0.497 0.987
Ga: 0.497 0.250 0.487
Ga: 0.503 0.750 0.513
Ga: 0.750 0.503 0.013
Ga: 0.750 0.997 0.013
Ga: 0.997 0.750 0.513
Ag: 0.250 0.750 0.250
Ag: 0.750 0.250 0.750

Calculated volume: 16.8 Å³ per atom
E: -2.61 eV per atom
DFT formation energy: -102 meV per atom
Size of the total moment: 0.000 μB per atom

(2)
DFT (PBE-GGA) results for a relaxed structure of Co2TePb.

Lattice parameters (Å, degrees): 3.777 3.777 10.355 90.00 90.00 90.00
Element x y z (fractional)
Co: 0.000 0.000 0.000
Co: 0.000 0.500 0.250
Co: 0.500 0.000 0.750
Co: 0.500 0.500 0.500
Te: 0.000 0.000 0.500
Te: 0.500 0.500 0.000
Pb: 0.000 0.500 0.750
Pb: 0.500 0.000 0.250

Calculated volume: 18.5 Å³ per atom
E: -4.68 eV per atom
Energy above the most stable polymorph in this dataset: 177.8 kJ/mol of formula units
Raw formation energy: 0.585 eV per atom
Size of the total moment: 0.474 μB per atom

(3)
DFT (PBE-GGA) results for a relaxed structure of NiPdSe2Br2.

Lattice parameters (Å, degrees): 10.336 10.336 10.336 150.76 43.43 148.61
Element x y z (fractional)
Ni: 0.250 0.250 0.000
Ni: 0.750 0.750 0.000
Pd: 0.250 0.750 0.500
Pd: 0.750 0.250 0.500
Se: 0.082 0.195 0.276
Se: 0.418 0.695 0.113
Se: 0.582 0.305 0.887
Se: 0.918 0.805 0.724
Br: 0.176 0.793 0.969
Br: 0.324 0.293 0.617
Br: 0.676 0.707 0.383
Br: 0.824 0.207 0.031

Calculated volume: 23.3 Å³ per atom
E: -3.60 eV per atom
Raw formation energy: -0.055 eV per atom
Size of the total moment: 0.000 μB per atom

(4)
DFT (PBE-GGA) results for a relaxed structure of Li2TbAu6.

Lattice parameters (Å, degrees): 8.594 8.594 5.102 90.40 90.40 117.13
Element x y z (fractional)
Li: 0.163 0.337 0.000
Li: 0.337 0.163 0.500
Li: 0.663 0.837 0.500
Li: 0.837 0.663 0.000
Tb: 0.250 0.750 0.750
Tb: 0.750 0.250 0.250
Au: 0.014 0.167 0.510
Au: 0.082 0.582 0.242
Au: 0.167 0.014 0.010
Au: 0.333 0.486 0.489
Au: 0.418 0.918 0.258
Au: 0.486 0.333 0.989
Au: 0.514 0.667 0.011
Au: 0.582 0.082 0.742
Au: 0.667 0.514 0.511
Au: 0.833 0.986 0.990
Au: 0.918 0.418 0.758
Au: 0.986 0.833 0.490

Calculated volume: 18.6 Å³ per atom
E: -3.63 eV per atom
DFT formation energy: -505 meV per atom
Size of the total moment: 0.000 μB per atom

(5)
DFT (PBE-GGA) results for a relaxed structure of Sr2CaCuAs.

Lattice parameters (Å, degrees): 6.360 6.360 4.802 90.00 90.00 90.00
Element x y z (fractional)
Sr: 0.000 0.500 0.000
Sr: 0.500 0.000 0.000
Ca: 0.000 0.000 0.000
Cu: 0.000 0.000 0.500
As: 0.500 0.500 0.500

Calculated volume: 38.8 Å³ per atom
E: -2.13 eV per atom
DFT formation energy: 688 meV per atom
Size of the total moment: 0.000 μB per atom

(6)
DFT (PBE-GGA) results for a relaxed structure of MgCu4Ni.

Lattice parameters (Å, degrees): 4.814 4.814 4.814 60.00 60.00 60.00
Element x y z (fractional)
Mg: 0.000 0.000 0.000
Cu: 0.375 0.375 0.375
Cu: 0.375 0.375 0.874
Cu: 0.375 0.874 0.375
Cu: 0.874 0.375 0.375
Ni: 0.750 0.750 0.750

Calculated volume: 13.2 Å³ per atom
E: -3.96 eV per atom
Energy above the most stable polymorph in this dataset: 14.7 kJ/mol of formula units
DFT formation energy: -1 meV per atom
Size of the total moment: 0.000 μB per atom

(7)
DFT (PBE-GGA) results for a relaxed structure of Ba4NaAg3.

Lattice parameters (Å, degrees): 4.812 5.076 13.057 90.00 90.00 90.00
Element x y z (fractional)
Ba: 0.000 0.000 0.000
Ba: 0.000 0.500 0.261
Ba: 0.500 0.000 0.472
Ba: 0.500 0.500 0.775
Na: 0.000 0.000 0.688
Ag: 0.000 0.500 0.551
Ag: 0.500 0.000 0.194
Ag: 0.500 0.500 0.063

Calculated volume: 39.9 Å³ per atom
E: -2.37 eV per atom
DFT formation energy: -173 meV per atom
Size of the total moment: 0.000 μB per atom